<i>
PrMg2Hg GGA-PBE optimized geometry; density of states at the Fermi level = 2.95 states/eV/f.u.; space-group type = P4/mmm (123)
1.0
4.950 0.000 0.000
0.000 4.599 0.000
0.000 0.000 4.599
Pr Mg Hg
1 2 1
Direct
0.500 0.500 0.500
0.000 0.000 0.500
0.000 0.500 0.000
0.500 0.000 0.000



<ii>
PrMg2Hg GGA-PBE optimized geometry; density of states at the Fermi level = 1.05 states/eV/f.u.; space-group type = Fm-3m (225)
1.0
5.137 0.000 0.000
2.569 4.449 0.000
2.569 1.483 4.194
Pr Mg Hg
1 2 1
Direct
0.000 0.000 0.000
0.250 0.250 0.250
0.750 0.750 0.750
0.500 0.500 0.500



Short version: <i> is the most stable of them.



<i>
PrMg2Hg GGA-PBE optimized geometry; density of states at the Fermi level = 2.02 states/eV/f.u.; space-group type = I-4m2 (119)
1.0
-2.103 4.762 -0.038
-2.699 -4.028 -1.895
0.644 -2.501 4.521
Pr Mg Hg
1 2 1
Direct
0.125 0.312 0.437
0.125 0.813 0.937
0.625 0.063 0.688
0.625 0.562 0.188



<ii>
PrMg2Hg GGA-PBE optimized geometry; density of states at the Fermi level = 4.12 states/eV/f.u.; space-group type = R-3m (166)
1.0
3.331 0.000 0.000
1.665 2.885 0.000
1.665 0.962 11.318
Pr Mg Hg
1 2 1
Direct
0.000 0.000 0.000
0.098 0.098 0.707
0.902 0.902 0.293
0.500 0.500 0.500



Short version: <i> is the most stable of them.



<i>
Pr2MgHg GGA-PBE optimized geometry; density of states at the Fermi level = 4.58 states/eV/f.u.; space-group type = Fm-3m (225)
1.0
5.486 0.000 0.000
2.743 4.751 0.000
2.743 1.584 4.479
Pr Mg Hg
2 1 1
Direct
0.250 0.250 0.250
0.750 0.750 0.750
0.500 0.500 0.500
0.000 0.000 0.000



<ii>
Pr2MgHg GGA-PBE optimized geometry; density of states at the Fermi level = 5.35 states/eV/f.u.; space-group type = P4/mmm (123)
1.0
3.901 0.000 0.000
0.000 3.901 0.000
0.000 0.000 7.703
Pr Mg Hg
2 1 1
Direct
0.000 0.000 0.751
0.000 0.000 0.249
0.500 0.500 0.500
0.500 0.500 0.000



Short version: <ii> is the most stable of them.



<i>
PrMg2Hg3 GGA-PBE optimized geometry; density of states at the Fermi level = 4.34 states/eV/f.u.; space-group type = P6_3/mmc (194)
1.0
-0.100 -2.860 -3.989
4.021 0.150 2.812
-4.960 -10.502 7.653
Pr Mg Hg
2 4 6
Direct
0.000 0.000 0.250
0.000 0.000 0.750
0.667 0.333 0.417
0.333 0.667 0.583
0.333 0.667 0.917
0.667 0.333 0.083
0.000 0.000 0.500
0.000 0.000 0.000
0.667 0.333 0.635
0.333 0.667 0.135
0.667 0.333 0.865
0.333 0.667 0.365



<ii>
PrMg2Hg3 GGA-PBE optimized geometry; density of states at the Fermi level = 3.40 states/eV/f.u.; space-group type = Cmcm (63)
1.0
-1.035 2.918 -5.487
-3.824 -5.437 -2.171
-4.691 4.160 3.097
Pr Mg Hg
2 4 6
Direct
0.250 0.357 0.357
0.750 0.643 0.643
0.500 0.782 0.218
0.000 0.782 0.218
0.000 0.218 0.782
0.500 0.218 0.782
0.750 0.440 0.151
0.750 0.151 0.440
0.250 0.560 0.849
0.750 0.003 0.003
0.250 0.997 0.997
0.250 0.849 0.560



Short version: <i> is the most stable of them.



<i>
PrMgHg2 GGA-PBE optimized geometry; density of states at the Fermi level = 1.94 states/eV/f.u.; space-group type = Fm-3m (225)
1.0
-0.509 -4.427 -2.689
4.228 -2.505 -1.712
1.393 -4.528 2.155
Pr Mg Hg
1 1 2
Direct
0.000 0.000 0.000
0.500 0.500 0.500
0.250 0.250 0.250
0.750 0.750 0.750



<ii>
PrMgHg2 GGA-PBE optimized geometry; density of states at the Fermi level = 2.92 states/eV/f.u.; space-group type = P4/mmm (123)
1.0
3.618 0.000 0.000
0.000 3.618 0.000
0.000 0.000 7.587
Pr Mg Hg
1 1 2
Direct
0.500 0.500 0.500
0.500 0.500 0.000
0.000 0.000 0.780
0.000 0.000 0.220



Short version: <i> is the most stable of them.



<i>
PrMg9Hg2 GGA-PBE optimized geometry; density of states at the Fermi level = 4.32 states/eV/f.u.; space-group type = P6/mmm (191)
1.0
3.358 0.000 0.000
0.000 9.890 0.000
0.000 -4.945 8.565
Pr Mg Hg
1 9 2
Direct
0.000 0.000 0.000
0.500 0.817 0.183
0.000 0.000 0.500
0.000 0.500 0.500
0.500 0.817 0.633
0.500 0.183 0.817
0.500 0.633 0.817
0.500 0.183 0.367
0.000 0.500 0.000
0.500 0.367 0.183
0.000 0.667 0.333
0.000 0.333 0.667



<ii>
PrMg9Hg2 GGA-PBE optimized geometry; density of states at the Fermi level = 6.00 states/eV/f.u.; space-group type = I4_1/amd (141)
1.0
-3.230 0.183 6.985
0.822 -7.994 4.831
5.754 2.864 6.827
Pr Mg Hg
2 18 4
Direct
0.500 0.000 0.000
0.250 0.500 0.500
0.750 0.500 0.500
0.000 0.000 0.000
0.004 0.921 0.678
0.603 0.079 0.322
0.675 0.178 0.579
0.432 0.822 0.421
0.746 0.822 0.579
0.147 0.178 0.421
0.075 0.921 0.322
0.318 0.079 0.678
0.746 0.579 0.822
0.147 0.421 0.178
0.075 0.322 0.921
0.318 0.678 0.079
0.004 0.678 0.921
0.603 0.322 0.079
0.675 0.579 0.178
0.432 0.421 0.822
0.875 0.250 0.750
0.875 0.750 0.250
0.875 0.250 0.250
0.375 0.750 0.750



Short version: <ii> is the most stable of them.